{
  "formula": "LiTb2VO6",
  "functional": "PBE+U",
  "state": "relaxed",
  "magmom_total_mub_per_fu": 0.00,
  "energy_ev_per_atom": -7.638,
  "space_group": "No. 14",
  "lattice": [[5.280, 0.000, 0.000], [0.000, 5.681, 0.000], [-5.162, 0.000, 7.519]],
  "species": ["Li", "Li", "Tb", "Tb", "Tb", "Tb", "V", "V", "O", "O", "O", "O", "O", "O", "O", "O", "O", "O", "O", "O"],
  "frac_coords": [[0.000, 0.000, 0.000], [0.000, 0.500, 0.500], [0.229, 0.077, 0.748], [0.229, 0.423, 0.248], [0.771, 0.577, 0.752], [0.771, 0.923, 0.252], [0.500, 0.000, 0.500], [0.500, 0.500, 0.000], [0.154, 0.177, 0.449], [0.154, 0.323, 0.949], [0.268, 0.712, 0.440], [0.268, 0.788, 0.940], [0.370, 0.038, 0.261], [0.370, 0.462, 0.761], [0.630, 0.538, 0.239], [0.630, 0.962, 0.739], [0.732, 0.212, 0.060], [0.732, 0.288, 0.560], [0.846, 0.677, 0.051], [0.846, 0.823, 0.551]]
}